(1)
Computed, not measured: Pr2B3C4 after structural relaxation at the PBE level of DFT.

Unit cell a=4.6920 b=7.7857 c=6.4752 alpha=90.00 beta=111.24 gamma=90.00
Last column: nearest neighbours and their distance in Å.
Atoms (fractional coordinates):
B 0.0000 0.0000 0.0000  4 C 2.34
B 0.5674 0.7500 0.6347  3 C 1.55-1.64
B 0.4326 0.2500 0.3653  3 C 1.55-1.64
B 0.9326 0.2500 0.3653  3 C 1.55-1.64
B 0.0674 0.7500 0.6347  3 C 1.55-1.64
B 0.5000 0.5000 0.0000  4 C 2.34
C 0.7505 0.6702 0.5009  2 B 1.55
C 0.2495 0.3298 0.4991  2 B 1.55
C 0.2505 0.8298 0.5009  2 B 1.55
C 0.7029 0.7500 0.9057  1 B 1.64
C 0.7495 0.1702 0.4991  2 B 1.55
C 0.2029 0.7500 0.9057  1 B 1.64
C 0.2971 0.2500 0.0943  1 B 1.64
C 0.7971 0.2500 0.0943  1 B 1.64
Pr 0.8741 0.4185 0.7482  4 C 2.45-2.73
Pr 0.1259 0.5815 0.2518  4 C 2.45-2.73
Pr 0.3741 0.0815 0.7482  4 C 2.45-2.73
Pr 0.6259 0.9185 0.2518  4 C 2.45-2.73

Calculated values
VASP energy in eV for the cell shown: -121.79
Formation energy in eV/atom: 0.62

---

(2)
Computed, not measured: PrBC after structural relaxation at the PBE level of DFT.

Unit cell a=8.5412 b=8.5704 c=12.3739 alpha=90.00 beta=90.00 gamma=90.00
Last column: nearest neighbours and their distance in Å.
Atoms (fractional coordinates):
B 0.8839 0.8969 0.7863  1 C 1.50, 1 B 1.64
B 0.4402 0.7016 0.3209  1 C 1.49, 1 B 1.64
B 0.5183 0.6131 0.5405  2 C 1.48
B 0.0598 0.2984 0.8209  1 C 1.49, 1 B 1.64
B 0.1161 0.3969 0.7137  1 C 1.50, 1 B 1.64
B 0.3184 0.6908 0.9929  2 C 1.47-1.49
B 0.4048 0.0256 0.7408  2 C 1.47-1.49
B 0.5952 0.5256 0.7592  2 C 1.47-1.49
B 0.6161 0.1031 0.2863  1 C 1.50, 1 B 1.64
B 0.8184 0.8092 0.0071  2 C 1.47-1.49
B 0.9402 0.7984 0.6791  1 C 1.49, 1 B 1.64
B 0.5598 0.2016 0.1791  1 C 1.49, 1 B 1.64
B 0.3839 0.6031 0.2137  1 C 1.50, 1 B 1.64
B 0.6816 0.1908 0.5071  2 C 1.47-1.49
B 0.9817 0.3869 0.0405  2 C 1.48
B 0.0952 0.9744 0.2408  2 C 1.47-1.49
B 0.0183 0.8869 0.4595  2 C 1.48
B 0.1816 0.3092 0.4929  2 C 1.47-1.49
B 0.9048 0.4744 0.2592  2 C 1.47-1.49
B 0.4817 0.1131 0.9595  2 C 1.48
C 0.9433 0.3907 0.1573  2 B 1.48-1.49
C 0.8547 0.8958 0.9058  2 B 1.49-1.50
C 0.5567 0.6093 0.6573  2 B 1.48-1.49
C 0.5219 0.1940 0.0618  2 B 1.48-1.49
C 0.4781 0.6940 0.4382  2 B 1.48-1.49
C 0.7460 0.2019 0.6169  1 B 1.47
C 0.9781 0.8060 0.5618  2 B 1.48-1.49
C 0.4433 0.1093 0.8427  2 B 1.48-1.49
C 0.6434 0.5029 0.8722  1 B 1.47
C 0.1434 0.9971 0.1278  1 B 1.47
C 0.0219 0.3060 0.9382  2 B 1.48-1.49
C 0.1453 0.3958 0.5942  2 B 1.49-1.50
C 0.0567 0.8907 0.3427  2 B 1.48-1.49
C 0.2540 0.7019 0.8831  1 B 1.47
C 0.7540 0.7981 0.1169  1 B 1.47
C 0.8566 0.4971 0.3722  1 B 1.47
C 0.3547 0.6042 0.0942  2 B 1.49-1.50
C 0.6453 0.1042 0.4058  2 B 1.49-1.50
C 0.3566 0.0029 0.6278  1 B 1.47
C 0.2460 0.2981 0.3831  1 B 1.47
Pr 0.8392 0.0931 0.0961  5 C 2.64-2.90, 3 B 2.68-2.88
Pr 0.4371 0.3026 0.6318  4 C 2.66-2.84, 5 B 2.74-2.97
Pr 0.2558 0.7106 0.6752  4 C 2.57-2.87, 1 B 2.80
Pr 0.3392 0.4069 0.9039  5 C 2.64-2.90, 3 B 2.68-2.88
Pr 0.0511 0.0971 0.6412  4 C 2.74-2.77, 6 B 2.77-2.89
Pr 0.9371 0.1974 0.3682  4 C 2.66-2.84, 5 B 2.74-2.97
Pr 0.0629 0.6974 0.1318  4 C 2.66-2.84, 5 B 2.74-2.97
Pr 0.6596 0.5085 0.0791  4 C 2.56-2.80
Pr 0.3404 0.0085 0.4209  4 C 2.56-2.80
Pr 0.5511 0.4029 0.3588  4 C 2.74-2.77, 6 B 2.77-2.89
Pr 0.9489 0.5971 0.8588  4 C 2.74-2.77, 6 B 2.77-2.89
Pr 0.8404 0.4915 0.5791  4 C 2.56-2.80
Pr 0.7558 0.7894 0.3248  4 C 2.57-2.87, 1 B 2.80
Pr 0.1596 0.9915 0.9209  4 C 2.56-2.80
Pr 0.5629 0.8026 0.8682  4 C 2.66-2.84, 5 B 2.74-2.97
Pr 0.7442 0.2106 0.8248  4 C 2.57-2.87, 1 B 2.80
Pr 0.2442 0.2894 0.1752  4 C 2.57-2.87, 1 B 2.80
Pr 0.4489 0.9029 0.1412  4 C 2.74-2.77, 6 B 2.77-2.89
Pr 0.1608 0.5931 0.4039  5 C 2.64-2.90, 3 B 2.68-2.88
Pr 0.6608 0.9069 0.5961  5 C 2.64-2.90, 3 B 2.68-2.88

Calculated values
VASP energy in eV for the cell shown: -434.08
Polymorph energy (0 for the lowest one) in eV/f.u.: 0.00
Formation energy in eV/atom: -0.34

---

(3)
Computed, not measured: PrBC after structural relaxation at the PBE level of DFT.

Unit cell a=4.4248 b=3.0732 c=3.0732 alpha=120.00 beta=90.00 gamma=90.00
Last column: nearest neighbours and their distance in Å.
Atoms (fractional coordinates):
C 0.1667 0.3333 0.6667  3 B 1.77
B 0.1667 0.0000 0.0000  3 C 1.77
Pr 0.6667 0.6667 0.3333  6 B 2.84, 6 C 2.84, 6 Pr 3.07

Calculated values
VASP energy in eV for the cell shown: -20.82
Polymorph energy (0 for the lowest one) in eV/f.u.: 0.88
Formation energy in eV/atom: -0.05

---

(4)
Computed, not measured: PrB5C2 after structural relaxation at the PBE level of DFT.

Unit cell a=5.4283 b=4.8642 c=4.8642 alpha=55.63 beta=56.08 gamma=56.08
Last column: nearest neighbours and their distance in Å.
Atoms (fractional coordinates):
B 0.6246 0.1685 0.5823  1 C 1.63, 1 B 1.66
B 0.0000 0.5000 0.5000  2 C 1.56
B 0.6246 0.5823 0.1685  1 C 1.63, 1 B 1.66
B 0.3754 0.8315 0.4177  1 C 1.63, 1 B 1.66
B 0.3754 0.4177 0.8315  1 C 1.63, 1 B 1.66
C 0.7656 0.7344 0.7344  3 B 1.56-1.63
C 0.2344 0.2656 0.2656  3 B 1.56-1.63
Pr 0.0000 0.0000 0.0000  2 B 2.27

Calculated values
VASP energy in eV for the cell shown: -52.82
Formation energy in eV/atom: 0.47